# TbHo2GaC

An optimized crystal structure of TbHo2GaC (GGA-PBE, Alexandria via LeMat-Bulk).

```
TbHo2GaC
1.0
4.891 0.000 0.000
0.000 4.832 0.000
0.000 0.000 4.832
Ga Tb C Ho
1 1 1 2
direct
0.500 0.500 0.500
0.500 0.000 0.000
0.000 0.000 0.000
0.000 0.000 0.500
0.000 0.500 0.000
```

Total DFT energy (no corrections)   -28.3 eV/f.u.
Space group   P4/mmm, No. 123
DFT formation energy   -454.8 meV/atom